Entry from Alexandria: a relaxed ScNi3 crystal (PBEsol).

## Properties
Its space group is Pm-3m. The formation energy comes out at -1.62 eV per formula unit. The density of states at the Fermi level comes out at 4.61 states/eV/cell.

a b c (Å): 3.6483 3.6483 3.6483
angles (deg): 90.00 90.00 90.00
Element x y z (fractional)
Sc  0.0000  0.0000  0.0000
Ni  0.0000  0.5000  0.5000
Ni  0.5000  0.0000  0.5000
Ni  0.5000  0.5000  0.0000


Entry from Alexandria: a relaxed Sc3Ni crystal (PBEsol).

## Properties
Its space group is Pm-3m. The formation energy comes out at -0.04 eV per formula unit. The density of states at the Fermi level comes out at 6.98 states/eV/cell.

a b c (Å): 4.2208 4.2208 4.2208
angles (deg): 90.00 90.00 90.00
Element x y z (fractional)
Sc  0.0000  0.0000  0.5000
Sc  0.0000  0.5000  0.0000
Sc  0.5000  0.0000  0.0000
Ni  0.5000  0.5000  0.5000